Entry 1:
A relaxed NaCdHg2Rh crystal. Source: the Alexandria database, functional PBE.

Values from the calculation:
Formation enthalpy at 0 K   -0.019 eV per atom
N(E_F)   2.15 states/eV per cell

The structure in POSCAR format:
```
NaCdHg2Rh
1.0
5.274 0.000 0.000
0.000 5.274 0.000
0.000 0.000 5.190
Na Cd Hg Rh
1 1 2 1
direct
0.000 0.000 0.000
0.500 0.500 0.000
0.000 0.500 0.500
0.500 0.000 0.500
0.500 0.500 0.500
```

***

Entry 2:
A relaxed Sc3TeBr7 crystal. Source: the Alexandria database, functional PBE.

Values from the calculation:
Electronic total energy   -51.7 eV/cell
N(E_F)   0.00 states/eV per cell

The structure in POSCAR format:
```
Sc3TeBr7
1.0
6.815 -3.934 0.000
6.815 3.934 0.000
-6.796 0.000 7.033
Sc Te Br
3 1 7
direct
0.000 0.000 0.000
0.000 0.487 0.001
0.487 0.000 0.001
0.035 0.035 0.745
0.048 0.568 0.798
0.430 0.953 0.219
0.431 0.431 0.219
0.568 0.048 0.798
0.569 0.569 0.799
0.944 0.944 0.230
0.953 0.430 0.219
```

***

Entry 3:
A relaxed LaBe2TcAu crystal. Source: the Alexandria database, functional PBE.

Values from the calculation:
Formation enthalpy at 0 K   2.262 eV per atom
N(E_F)   5.78 states/eV per cell

The structure in POSCAR format:
```
LaBe2TcAu
1.0
4.770 0.000 0.000
0.000 4.770 0.000
0.000 0.000 5.255
La Be Tc Au
1 2 1 1
direct
0.000 0.000 0.000
0.000 0.500 0.000
0.500 0.000 0.000
0.500 0.500 0.500
0.000 0.000 0.500
```

***

Entry 4:
A relaxed Cs2Rb12Au7 crystal. Source: the Alexandria database, functional PBE.

Values from the calculation:
Formation enthalpy at 0 K   -0.166 eV per atom
N(E_F)   21.36 states/eV per cell

The structure in POSCAR format:
```
Cs2Rb12Au7
1.0
14.523 0.000 0.000
-7.262 12.578 0.000
0.000 0.000 5.575
Cs Rb Au
2 12 7
direct
0.000 0.000 0.000
0.333 0.667 0.500
0.053 0.274 0.500
0.110 0.706 0.000
0.221 0.947 0.500
0.294 0.404 0.000
0.390 0.182 0.000
0.547 0.437 0.500
0.563 0.109 0.500
0.596 0.890 0.000
0.726 0.779 0.500
0.793 0.610 0.000
0.818 0.207 0.000
0.891 0.453 0.500
0.068 0.445 0.000
0.269 0.225 0.500
0.377 0.932 0.000
0.555 0.623 0.000
0.667 0.333 0.000
0.775 0.044 0.500
0.956 0.731 0.500
```

***

Entry 5:
A relaxed Bi2AsOsF crystal. Source: the Alexandria database, functional PBE.

Values from the calculation:
Electronic total energy   -22.6 eV/cell
N(E_F)   1.99 states/eV per cell

The structure in POSCAR format:
```
Bi2AsOsF
1.0
5.136 0.000 0.000
0.000 5.136 0.000
0.000 0.000 4.122
Bi As Os F
2 1 1 1
direct
0.000 0.500 0.000
0.500 0.000 0.000
0.000 0.000 0.500
0.500 0.500 0.500
0.500 0.500 0.000
```

***

Entry 6:
A relaxed SiAs2P crystal. Source: the Alexandria database, functional PBE.

Values from the calculation:
Electronic total energy   -17.7 eV/cell
N(E_F)   2.59 states/eV per cell

The structure in POSCAR format:
```
SiAs2P
1.0
0.000 3.215 3.215
3.215 0.000 3.215
3.215 3.215 0.000
Si As P
1 2 1
direct
0.000 0.000 0.000
0.250 0.250 0.250
0.500 0.500 0.500
0.750 0.750 0.750
```